Record 1
VASP calculation (GGA-PBE) on a geometry-optimized TbGdGa structure.

Calculated values
formation enthalpy at 0 K = -0.266 eV per atom
total moment = 2.61 μB per atom
crystal system = cubic

The structure in POSCAR format:
```
TbGdGa
1.0
0.000 3.532 3.532
3.532 0.000 3.532
3.532 3.532 0.000
Tb Gd Ga
1 1 1
Cartesian
0.000 0.000 0.000
3.532 3.532 3.532
5.298 5.298 5.298
```

Record 2
VASP calculation (GGA-PBE) on a geometry-optimized Ce8Co2Sn structure.

Calculated values
formation enthalpy at 0 K = -0.158 eV per atom
total moment = 0.00 μB per atom
crystal system = monoclinic

The structure in POSCAR format:
```
Ce8Co2Sn
1.0
4.201 -6.604 0.000
4.201 6.604 0.000
-1.057 0.000 4.932
Ce Co Sn
8 2 1
Cartesian
-0.150 0.000 3.833
2.237 1.509 2.198
4.201 3.529 0.000
2.237 -1.509 2.198
5.107 1.509 2.733
4.201 -3.529 0.000
5.107 -1.509 2.733
7.494 0.000 1.099
3.672 4.028 2.466
3.672 -4.028 2.466
4.201 0.000 0.000
```

Record 3
VASP calculation (GGA-PBE) on a geometry-optimized LiSc2Ru2 structure.

Calculated values
formation enthalpy at 0 K = -0.212 eV per atom
total moment = 0.00 μB per atom
crystal system = tetragonal

The structure in POSCAR format:
```
LiSc2Ru2
1.0
7.268 0.000 0.000
0.000 7.268 0.000
0.000 0.000 3.308
Li Sc Ru
2 4 4
Cartesian
0.000 0.000 0.000
3.634 3.634 0.000
1.135 2.499 1.654
2.499 6.133 1.654
4.769 1.135 1.654
6.133 4.769 1.654
1.037 4.671 0.000
2.597 1.037 0.000
4.671 6.231 0.000
6.231 2.597 0.000
```